A plane-wave DFT calculation with PBE with a Hubbard U was carried out for UCrB2O8 after structural relaxation.

Lattice parameters (Å, degrees): 5.088 5.088 5.989 90.00 90.00 120.00
Fractional coordinates of all 12 atoms:
U (0.000, 0.000, 0.000)
Cr (0.000, 0.000, 0.500)
B (0.333, 0.667, 0.669)
B (0.667, 0.333, 0.331)
O (0.172, 0.344, 0.757)
O (0.172, 0.828, 0.757)
O (0.333, 0.667, 0.439)
O (0.344, 0.172, 0.243)
O (0.656, 0.828, 0.757)
O (0.667, 0.333, 0.561)
O (0.828, 0.172, 0.243)
O (0.828, 0.656, 0.243)

Calculated values
As for the calculated total energy: -95.5 eV per cell.